Entry 1:
The following is a PBE-GGA calculation of a geometry-optimized Bi2TeIr structure, from OQMD via LeMat-Bulk.

Unit cell a=5.177 b=5.177 c=5.177 alpha=60.00 beta=60.00 gamma=60.00
Fractional positions:
Bi 0.000 0.000 0.000
Bi 0.250 0.250 0.250
Te 0.500 0.500 0.500
Ir 0.750 0.750 0.750

Summary:
- calculated volume (Å³/atom) = 24.53
- E_tot (eV per atom) = -4.46

---

Entry 2:
The following is a PBE-GGA calculation of a geometry-optimized NaAlSiNi structure, from OQMD via LeMat-Bulk.

Unit cell a=4.344 b=4.344 c=4.344 alpha=60.00 beta=60.00 gamma=60.00
Fractional positions:
Na 0.000 0.000 0.000
Al 0.750 0.750 0.750
Si 0.500 0.500 0.500
Ni 0.250 0.250 0.250

Summary:
- calculated volume (Å³/atom) = 14.49
- E above lowest polymorph (meV/atom) = 110

---

Entry 3:
The following is a PBE-GGA calculation of a geometry-optimized BeSiOs2 structure, from OQMD via LeMat-Bulk.

Unit cell a=3.864 b=3.864 c=8.057 alpha=90.00 beta=90.00 gamma=120.00
Fractional positions:
Be 0.000 0.000 0.250
Be 0.000 0.000 0.750
Si 0.333 0.667 0.250
Si 0.667 0.333 0.750
Os 0.333 0.667 0.589
Os 0.333 0.667 0.911
Os 0.667 0.333 0.089
Os 0.667 0.333 0.411

Summary:
- calculated volume (Å³/atom) = 13.02
- E_tot (eV per atom) = -7.61

---

Entry 4:
The following is a PBE-GGA calculation of a geometry-optimized Cu2Ag3 structure, from OQMD via LeMat-Bulk.

Unit cell a=7.592 b=7.592 c=7.671 alpha=105.16 beta=105.16 gamma=21.46
Fractional positions:
Cu 0.000 0.000 0.000
Cu 0.006 0.006 0.530
Cu 0.591 0.591 0.812
Cu 0.792 0.792 0.414
Ag 0.194 0.194 0.107
Ag 0.195 0.195 0.618
Ag 0.399 0.399 0.241
Ag 0.401 0.401 0.698
Ag 0.590 0.590 0.307
Ag 0.806 0.806 0.920

Summary:
- calculated volume (Å³/atom) = 15.59
- calculated formation energy (eV/f.u.) = 0.459
- E above lowest polymorph (meV/atom) = 60

---

Entry 5:
The following is a PBE-GGA calculation of a geometry-optimized Tb2ScAl3CuGe2 structure, from OQMD via LeMat-Bulk.

Unit cell a=4.123 b=6.932 c=6.932 alpha=119.68 beta=90.00 gamma=90.00
Fractional positions:
Tb 0.000 0.202 0.798
Tb 0.000 0.798 0.202
Sc 0.000 0.605 0.605
Al 0.500 0.207 0.439
Al 0.500 0.439 0.207
Al 0.500 0.970 0.970
Cu 0.000 0.215 0.215
Ge 0.500 0.540 0.861
Ge 0.500 0.861 0.540

Summary:
- calculated volume (Å³/atom) = 19.12
- E_tot (eV per atom) = -5.07

---

Entry 6:
The following is a PBE-GGA calculation of a geometry-optimized NbGaFe2 structure, from OQMD via LeMat-Bulk.

Unit cell a=4.288 b=4.288 c=4.288 alpha=60.00 beta=60.00 gamma=60.00
Fractional positions:
Nb 0.000 0.000 0.000
Ga 0.750 0.750 0.750
Fe 0.250 0.250 0.250
Fe 0.500 0.500 0.500

Summary:
- calculated volume (Å³/atom) = 13.94
- E_tot (eV per atom) = -7.49

---

Entry 7:
The following is a PBE-GGA calculation of a geometry-optimized TbNdZn2Pb2 structure, from OQMD via LeMat-Bulk.

Unit cell a=4.643 b=4.643 c=16.298 alpha=90.00 beta=90.00 gamma=120.00
Fractional positions:
Tb 0.000 0.000 0.000
Tb 0.000 0.000 0.500
Nd 0.000 0.000 0.250
Nd 0.000 0.000 0.750
Zn 0.333 0.667 0.162
Zn 0.333 0.667 0.338
Zn 0.667 0.333 0.662
Zn 0.667 0.333 0.838
Pb 0.333 0.667 0.608
Pb 0.333 0.667 0.892
Pb 0.667 0.333 0.108
Pb 0.667 0.333 0.392

Summary:
- calculated volume (Å³/atom) = 25.35
- E above lowest polymorph (meV/atom) = 14

---

Entry 8:
The following is a PBE-GGA calculation of a geometry-optimized DyY2Tm2Lu2Ni2Te2 structure, from OQMD via LeMat-Bulk.

Unit cell a=9.261 b=9.261 c=9.261 alpha=156.16 beta=67.07 gamma=118.35
Fractional positions:
Dy 0.000 0.000 0.000
Y 0.288 0.419 0.868
Y 0.551 0.419 0.132
Tm 0.306 0.621 0.686
Tm 0.935 0.621 0.314
Lu 0.624 0.272 0.352
Lu 0.920 0.272 0.648
Ni 0.164 0.928 0.235
Ni 0.693 0.928 0.765
Te 0.264 0.764 0.500
Te 0.668 0.668 0.000

Summary:
- calculated volume (Å³/atom) = 25.48
- E above lowest polymorph (meV/atom) = 10

---

Entry 9:
The following is a PBE-GGA calculation of a geometry-optimized LiInCoAs structure, from OQMD via LeMat-Bulk.

Unit cell a=4.387 b=4.387 c=4.387 alpha=60.00 beta=60.00 gamma=60.00
Fractional positions:
Li 0.000 0.000 0.000
In 0.750 0.750 0.750
Co 0.500 0.500 0.500
As 0.250 0.250 0.250

Summary:
- calculated volume (Å³/atom) = 14.93
- E above lowest polymorph (meV/atom) = 0

---

Entry 10:
The following is a PBE-GGA calculation of a geometry-optimized Sr2LiNiAs2 structure, from OQMD via LeMat-Bulk.

Unit cell a=4.275 b=4.275 c=8.651 alpha=90.00 beta=90.00 gamma=120.00
Fractional positions:
Sr 0.000 0.000 0.248
Sr 0.000 0.000 0.752
Li 0.667 0.333 0.000
Ni 0.333 0.667 0.500
As 0.333 0.667 0.000
As 0.667 0.333 0.500

Summary:
- calculated volume (Å³/atom) = 22.82
- E_tot (eV per atom) = -4.22

---

Entry 11:
The following is a PBE-GGA calculation of a geometry-optimized ReBi structure, from OQMD via LeMat-Bulk.

Unit cell a=4.406 b=4.406 c=7.195 alpha=90.00 beta=90.00 gamma=120.00
Fractional positions:
Re 0.333 0.667 0.000
Re 0.667 0.333 0.500
Bi 0.333 0.667 0.625
Bi 0.667 0.333 0.125

Summary:
- calculated volume (Å³/atom) = 30.24
- E above lowest polymorph (meV/atom) = 1403

---

Entry 12:
The following is a PBE-GGA calculation of a geometry-optimized GdHoGa4Ir2 structure, from OQMD via LeMat-Bulk.

Unit cell a=6.721 b=5.508 c=5.508 alpha=46.43 beta=90.00 gamma=90.00
Fractional positions:
Gd 0.000 0.000 0.000
Ho 0.500 0.169 0.169
Ga 0.196 0.718 0.718
Ga 0.306 0.450 0.450
Ga 0.694 0.450 0.450
Ga 0.804 0.718 0.718
Ir 0.000 0.287 0.287
Ir 0.500 0.881 0.881

Summary:
- calculated volume (Å³/atom) = 18.47
- E_tot (eV per atom) = -5.63